{"formula": "Sm3Tm8In", "functional": "PBE", "state": "optimized geometry", "e_tot_ev_per_cell": -46.32, "lattice": [[-4.298, 4.298, 5.580], [4.298, -4.298, 5.580], [4.298, 4.298, -5.580]], "species": ["Sm", "Sm", "Sm", "Tm", "Tm", "Tm", "Tm", "Tm", "Tm", "Tm", "Tm", "In"], "frac_coords": [[0.000, 0.000, 0.000], [0.250, 0.750, 0.500], [0.750, 0.250, 0.500], [0.121, 0.373, 0.000], [0.237, 0.738, 0.000], [0.262, 0.262, 0.499], [0.373, 0.121, 0.000], [0.627, 0.627, 0.748], [0.738, 0.237, 0.000], [0.763, 0.763, 0.501], [0.879, 0.879, 0.252], [0.500, 0.500, 0.000]]}

{"formula": "SmTm2In", "functional": "PBE", "state": "optimized geometry", "polymorph_energy_mev_per_atom": 21, "e_tot_ev_per_cell": -17.35, "lattice": [[3.581, 0.000, 0.000], [0.000, 3.581, 0.000], [0.000, 0.000, 9.067]], "species": ["Sm", "Tm", "Tm", "In"], "frac_coords": [[0.000, 0.000, 0.000], [0.500, 0.500, 0.276], [0.500, 0.500, 0.724], [0.000, 0.000, 0.500]]}

{"formula": "SmTmIn4", "functional": "PBE", "state": "optimized geometry", "polymorph_energy_mev_per_atom": 22, "e_tot_ev_per_cell": -87.86, "lattice": [[10.458, 0.000, 0.000], [0.000, 18.086, 0.000], [0.000, 0.000, 3.436]], "species": ["Sm", "Sm", "Sm", "Sm", "Tm", "Tm", "Tm", "Tm", "In", "In", "In", "In", "In", "In", "In", "In", "In", "In", "In", "In", "In", "In", "In", "In"], "frac_coords": [[0.078, 0.134, 0.000], [0.422, 0.634, 0.000], [0.578, 0.366, 0.000], [0.922, 0.866, 0.000], [0.117, 0.427, 0.000], [0.383, 0.927, 0.000], [0.617, 0.073, 0.000], [0.883, 0.573, 0.000], [0.021, 0.288, 0.500], [0.131, 0.972, 0.500], [0.154, 0.582, 0.500], [0.200, 0.810, 0.500], [0.300, 0.310, 0.500], [0.346, 0.082, 0.500], [0.369, 0.472, 0.500], [0.479, 0.788, 0.500], [0.521, 0.212, 0.500], [0.631, 0.528, 0.500], [0.654, 0.918, 0.500], [0.700, 0.690, 0.500], [0.800, 0.190, 0.500], [0.846, 0.418, 0.500], [0.869, 0.028, 0.500], [0.979, 0.712, 0.500]]}

{"formula": "Sm2TmIn4", "functional": "PBE", "state": "optimized geometry", "polymorph_energy_mev_per_atom": 0, "e_tot_ev_per_cell": -54.25, "lattice": [[5.262, 0.000, 0.000], [0.000, 5.262, 0.000], [0.000, 0.000, 14.781]], "species": ["Sm", "Sm", "Sm", "Sm", "Tm", "Tm", "In", "In", "In", "In", "In", "In", "In", "In"], "frac_coords": [[0.000, 0.000, 0.250], [0.000, 0.000, 0.750], [0.500, 0.500, 0.250], [0.500, 0.500, 0.750], [0.000, 0.000, 0.000], [0.500, 0.500, 0.500], [0.000, 0.500, 0.110], [0.000, 0.500, 0.390], [0.000, 0.500, 0.610], [0.000, 0.500, 0.890], [0.500, 0.000, 0.110], [0.500, 0.000, 0.390], [0.500, 0.000, 0.610], [0.500, 0.000, 0.890]]}

{"formula": "Sm2Y6Tm3In", "functional": "PBE", "state": "optimized geometry", "e_tot_ev_per_cell": -64.93, "lattice": [[3.048, -5.282, 0.000], [3.048, 5.282, 0.000], [-2.038, 0.000, 11.507]], "species": ["Sm", "Sm", "Y", "Y", "Y", "Y", "Y", "Y", "Tm", "Tm", "Tm", "In"], "frac_coords": [[0.166, 0.834, 0.000], [0.834, 0.166, 0.000], [0.090, 0.417, 0.750], [0.256, 0.256, 0.251], [0.417, 0.090, 0.750], [0.583, 0.910, 0.250], [0.744, 0.744, 0.749], [0.910, 0.583, 0.250], [0.000, 0.000, 0.500], [0.334, 0.666, 0.500], [0.666, 0.334, 0.500], [0.500, 0.500, 0.000]]}

{"formula": "Sm2YTmIn2", "functional": "PBE", "state": "optimized geometry", "e_tot_ev_per_cell": -56.03, "lattice": [[5.210, 0.000, 0.000], [0.000, 9.901, 0.000], [0.000, 0.000, 6.787]], "species": ["Sm", "Sm", "Sm", "Sm", "Y", "Y", "Tm", "Tm", "In", "In", "In", "In"], "frac_coords": [[0.000, 0.039, 0.000], [0.000, 0.961, 0.500], [0.500, 0.181, 0.279], [0.500, 0.819, 0.779], [0.500, 0.462, 0.929], [0.500, 0.538, 0.429], [0.000, 0.320, 0.650], [0.000, 0.680, 0.150], [0.000, 0.365, 0.179], [0.000, 0.635, 0.679], [0.500, 0.149, 0.753], [0.500, 0.851, 0.253]]}

{"formula": "Sm3Y6Tm2In", "functional": "PBE", "state": "optimized geometry", "e_tot_ev_per_cell": -65.04, "lattice": [[3.074, -5.327, 0.000], [3.074, 5.327, 0.000], [-2.061, 0.000, 11.454]], "species": ["Sm", "Sm", "Sm", "Y", "Y", "Y", "Y", "Y", "Y", "Tm", "Tm", "In"], "frac_coords": [[0.000, 0.000, 0.000], [0.333, 0.667, 0.000], [0.667, 0.333, 0.000], [0.092, 0.420, 0.257], [0.252, 0.252, 0.744], [0.420, 0.092, 0.257], [0.580, 0.908, 0.743], [0.748, 0.748, 0.256], [0.908, 0.580, 0.743], [0.166, 0.834, 0.500], [0.834, 0.166, 0.500], [0.500, 0.500, 0.500]]}

{"formula": "SmTmZrIn", "functional": "PBE", "state": "optimized geometry", "e_tot_ev_per_cell": -82.79, "lattice": [[7.573, 0.000, 0.000], [0.000, 7.573, 0.000], [0.000, 0.000, 7.573]], "species": ["Sm", "Sm", "Sm", "Sm", "Tm", "Tm", "Tm", "Tm", "Zr", "Zr", "Zr", "Zr", "In", "In", "In", "In"], "frac_coords": [[0.000, 0.000, 0.000], [0.000, 0.500, 0.500], [0.500, 0.000, 0.500], [0.500, 0.500, 0.000], [0.000, 0.000, 0.500], [0.000, 0.500, 0.000], [0.500, 0.000, 0.000], [0.500, 0.500, 0.500], [0.250, 0.250, 0.750], [0.250, 0.750, 0.250], [0.750, 0.250, 0.250], [0.750, 0.750, 0.750], [0.250, 0.250, 0.250], [0.250, 0.750, 0.750], [0.750, 0.250, 0.750], [0.750, 0.750, 0.250]]}

{"formula": "Sm8YIn2", "functional": "PBE", "state": "optimized geometry", "e_tot_ev_per_cell": -50.29, "lattice": [[4.473, -7.765, 0.000], [4.473, 7.765, 0.000], [-2.755, 0.000, 5.129]], "species": ["Sm", "Sm", "Sm", "Sm", "Sm", "Sm", "Sm", "Sm", "Y", "In", "In"], "frac_coords": [[0.095, 0.326, 0.633], [0.216, 0.784, 0.000], [0.326, 0.095, 0.633], [0.411, 0.411, 0.207], [0.589, 0.589, 0.793], [0.674, 0.905, 0.367], [0.784, 0.216, 0.000], [0.905, 0.674, 0.367], [0.000, 0.000, 0.000], [0.307, 0.693, 0.500], [0.693, 0.307, 0.500]]}

{"formula": "Sm5Y4In4", "functional": "PBE", "state": "optimized geometry", "e_tot_ev_per_cell": -64.67, "lattice": [[-6.184, 6.184, 2.572], [6.184, -6.184, 2.572], [6.184, 6.184, -2.572]], "species": ["Sm", "Sm", "Sm", "Sm", "Sm", "Y", "Y", "Y", "Y", "In", "In", "In", "In"], "frac_coords": [[0.000, 0.000, 0.000], [0.312, 0.598, 0.910], [0.402, 0.312, 0.715], [0.598, 0.688, 0.285], [0.688, 0.402, 0.090], [0.097, 0.390, 0.486], [0.390, 0.903, 0.293], [0.610, 0.097, 0.707], [0.903, 0.610, 0.514], [0.108, 0.764, 0.872], [0.236, 0.108, 0.344], [0.764, 0.892, 0.656], [0.892, 0.236, 0.128]]}

{"formula": "Sm15YIn4", "functional": "PBE", "state": "optimized geometry", "e_tot_ev_per_cell": -92.34, "lattice": [[4.940, 0.000, 0.000], [0.000, 4.940, 0.000], [0.000, 0.000, 25.170]], "species": ["Sm", "Sm", "Sm", "Sm", "Sm", "Sm", "Sm", "Sm", "Sm", "Sm", "Sm", "Sm", "Sm", "Sm", "Sm", "Y", "In", "In", "In", "In"], "frac_coords": [[0.000, 0.000, 0.000], [0.000, 0.000, 0.205], [0.000, 0.000, 0.402], [0.000, 0.000, 0.598], [0.000, 0.000, 0.795], [0.000, 0.500, 0.106], [0.000, 0.500, 0.303], [0.000, 0.500, 0.500], [0.000, 0.500, 0.697], [0.000, 0.500, 0.894], [0.500, 0.000, 0.106], [0.500, 0.000, 0.303], [0.500, 0.000, 0.500], [0.500, 0.000, 0.697], [0.500, 0.000, 0.894], [0.500, 0.500, 0.000], [0.500, 0.500, 0.206], [0.500, 0.500, 0.402], [0.500, 0.500, 0.598], [0.500, 0.500, 0.794]]}

{"formula": "Sm3YIn4", "functional": "PBE", "state": "optimized geometry", "polymorph_energy_mev_per_atom": 170, "e_tot_ev_per_cell": -68.35, "lattice": [[3.573, 0.000, 0.000], [0.000, 7.123, 0.000], [0.000, 0.000, 18.922]], "species": ["Sm", "Sm", "Sm", "Sm", "Sm", "Sm", "Y", "Y", "In", "In", "In", "In", "In", "In", "In", "In"], "frac_coords": [[0.000, 0.000, 0.000], [0.000, 0.500, 0.220], [0.000, 0.500, 0.780], [0.500, 0.000, 0.280], [0.500, 0.000, 0.720], [0.500, 0.500, 0.500], [0.000, 0.000, 0.500], [0.500, 0.500, 0.000], [0.000, 0.287, 0.374], [0.000, 0.287, 0.626], [0.000, 0.713, 0.374], [0.000, 0.713, 0.626], [0.500, 0.213, 0.126], [0.500, 0.213, 0.874], [0.500, 0.787, 0.126], [0.500, 0.787, 0.874]]}

{"formula": "SmYIn3", "functional": "PBE", "state": "optimized geometry", "e_tot_ev_per_cell": -38.14, "lattice": [[-2.930, 2.930, 10.986], [2.930, -2.930, 10.986], [2.930, 2.930, -10.986]], "species": ["Sm", "Sm", "Y", "Y", "In", "In", "In", "In", "In", "In"], "frac_coords": [[0.084, 0.084, 0.000], [0.916, 0.916, 0.000], [0.250, 0.750, 0.500], [0.500, 0.500, 0.000], [0.372, 0.126, 0.754], [0.372, 0.618, 0.246], [0.382, 0.628, 0.754], [0.505, 0.005, 0.500], [0.874, 0.628, 0.246], [0.995, 0.495, 0.500]]}

{"formula": "Sm4Y3In2", "functional": "PBE", "state": "optimized geometry", "e_tot_ev_per_cell": -45.57, "lattice": [[5.372, 0.000, 0.000], [-2.685, 6.273, 0.000], [-0.008, -2.243, 8.267]], "species": ["Sm", "Sm", "Sm", "Sm", "Y", "Y", "Y", "In", "In"], "frac_coords": [[0.118, 0.236, 0.157], [0.329, 0.658, 0.536], [0.671, 0.342, 0.464], [0.882, 0.764, 0.843], [0.000, 0.000, 0.500], [0.420, 0.841, 0.149], [0.580, 0.159, 0.851], [0.208, 0.417, 0.818], [0.792, 0.583, 0.182]]}

{"formula": "Sm12Y7In", "functional": "PBE", "state": "optimized geometry", "polymorph_energy_mev_per_atom": 518, "e_tot_ev_per_cell": -91.44, "lattice": [[-5.754, 5.754, 5.754], [5.754, -5.754, 5.754], [5.754, 5.754, -5.754]], "species": ["Sm", "Sm", "Sm", "Sm", "Sm", "Sm", "Sm", "Sm", "Sm", "Sm", "Sm", "Sm", "Y", "Y", "Y", "Y", "Y", "Y", "Y", "In"], "frac_coords": [[0.000, 0.219, 0.781], [0.000, 0.781, 0.219], [0.219, 0.000, 0.781], [0.219, 0.219, 0.437], [0.219, 0.437, 0.219], [0.219, 0.781, 0.000], [0.437, 0.219, 0.219], [0.563, 0.781, 0.781], [0.781, 0.000, 0.219], [0.781, 0.219, 0.000], [0.781, 0.563, 0.781], [0.781, 0.781, 0.563], [0.000, 0.000, 0.500], [0.000, 0.500, 0.000], [0.000, 0.500, 0.500], [0.500, 0.000, 0.000], [0.500, 0.000, 0.500], [0.500, 0.500, 0.000], [0.500, 0.500, 0.500], [0.000, 0.000, 0.000]]}

{"formula": "Sm2YIn4", "functional": "PBE", "state": "optimized geometry", "polymorph_energy_mev_per_atom": 480, "e_tot_ev_per_cell": -51.62, "lattice": [[5.675, 0.000, 0.000], [0.000, 5.675, 0.000], [0.000, 0.000, 15.895]], "species": ["Sm", "Sm", "Sm", "Sm", "Y", "Y", "In", "In", "In", "In", "In", "In", "In", "In"], "frac_coords": [[0.000, 0.000, 0.106], [0.000, 0.000, 0.894], [0.500, 0.500, 0.394], [0.500, 0.500, 0.606], [0.000, 0.000, 0.500], [0.500, 0.500, 0.000], [0.000, 0.000, 0.308], [0.000, 0.000, 0.692], [0.000, 0.500, 0.000], [0.000, 0.500, 0.500], [0.500, 0.000, 0.000], [0.500, 0.000, 0.500], [0.500, 0.500, 0.192], [0.500, 0.500, 0.808]]}

{"formula": "Sm12Y7In", "functional": "PBE", "state": "optimized geometry", "polymorph_energy_mev_per_atom": 0, "e_tot_ev_per_cell": -101.79, "lattice": [[6.163, 3.558, 5.056], [-6.163, 3.558, 5.056], [0.000, -7.116, 5.056]], "species": ["Sm", "Sm", "Sm", "Sm", "Sm", "Sm", "Sm", "Sm", "Sm", "Sm", "Sm", "Sm", "Y", "Y", "Y", "Y", "Y", "Y", "Y", "In"], "frac_coords": [[0.002, 0.354, 0.884], [0.116, 0.998, 0.646], [0.234, 0.627, 0.759], [0.241, 0.766, 0.373], [0.354, 0.884, 0.002], [0.373, 0.241, 0.766], [0.627, 0.759, 0.234], [0.646, 0.116, 0.998], [0.759, 0.234, 0.627], [0.766, 0.373, 0.241], [0.884, 0.002, 0.354], [0.998, 0.646, 0.116], [0.000, 0.000, 0.000], [0.121, 0.352, 0.443], [0.352, 0.443, 0.121], [0.443, 0.121, 0.352], [0.557, 0.879, 0.648], [0.648, 0.557, 0.879], [0.879, 0.648, 0.557], [0.500, 0.500, 0.500]]}

{"formula": "Sm5Y3In", "functional": "PBE", "state": "optimized geometry", "e_tot_ev_per_cell": -84.73, "lattice": [[6.858, -3.961, 0.000], [6.858, 3.961, 0.000], [-1.197, 0.000, 11.426]], "species": ["Sm", "Sm", "Sm", "Sm", "Sm", "Sm", "Sm", "Sm", "Sm", "Sm", "Y", "Y", "Y", "Y", "Y", "Y", "In", "In"], "frac_coords": [[0.009, 0.009, 0.372], [0.162, 0.589, 0.244], [0.169, 0.831, 0.000], [0.261, 0.261, 0.963], [0.411, 0.838, 0.756], [0.589, 0.162, 0.244], [0.739, 0.739, 0.037], [0.831, 0.169, 0.000], [0.838, 0.411, 0.756], [0.991, 0.991, 0.628], [0.167, 0.167, 0.217], [0.240, 0.240, 0.529], [0.500, 0.500, 0.000], [0.500, 0.500, 0.500], [0.760, 0.760, 0.471], [0.833, 0.833, 0.783], [0.405, 0.405, 0.742], [0.595, 0.595, 0.258]]}

{"formula": "SmY6In3", "functional": "PBE", "state": "optimized geometry", "polymorph_energy_mev_per_atom": 0, "e_tot_ev_per_cell": -109.28, "lattice": [[10.091, 0.000, 0.000], [0.000, 5.215, 0.000], [-2.060, 0.000, 11.164]], "species": ["Sm", "Sm", "Y", "Y", "Y", "Y", "Y", "Y", "Y", "Y", "Y", "Y", "Y", "Y", "In", "In", "In", "In", "In", "In"], "frac_coords": [[0.045, 0.250, 0.406], [0.955, 0.750, 0.594], [0.085, 0.750, 0.908], [0.138, 0.750, 0.219], [0.189, 0.250, 0.726], [0.278, 0.750, 0.518], [0.359, 0.250, 0.318], [0.445, 0.750, 0.093], [0.555, 0.250, 0.907], [0.641, 0.750, 0.682], [0.722, 0.250, 0.482], [0.811, 0.750, 0.274], [0.862, 0.250, 0.781], [0.915, 0.250, 0.092], [0.235, 0.250, 0.037], [0.370, 0.750, 0.807], [0.461, 0.250, 0.614], [0.539, 0.750, 0.386], [0.630, 0.250, 0.193], [0.765, 0.750, 0.963]]}

{"formula": "Sm14YIn", "functional": "PBE", "state": "optimized geometry", "e_tot_ev_per_cell": -75.84, "lattice": [[7.174, 0.000, 0.000], [0.000, 7.174, 0.000], [0.000, 0.000, 10.184]], "species": ["Sm", "Sm", "Sm", "Sm", "Sm", "Sm", "Sm", "Sm", "Sm", "Sm", "Sm", "Sm", "Sm", "Sm", "Y", "In"], "frac_coords": [[0.000, 0.000, 0.000], [0.000, 0.500, 0.000], [0.000, 0.500, 0.500], [0.248, 0.248, 0.254], [0.248, 0.248, 0.746], [0.248, 0.752, 0.254], [0.248, 0.752, 0.746], [0.500, 0.000, 0.000], [0.500, 0.000, 0.500], [0.500, 0.500, 0.000], [0.752, 0.248, 0.254], [0.752, 0.248, 0.746], [0.752, 0.752, 0.254], [0.752, 0.752, 0.746], [0.500, 0.500, 0.500], [0.000, 0.000, 0.500]]}

Formation enthalpy at 0 K / eV per formula unit: 6.348; -0.949; -1.821; -2.259; -0.559; -2.163; -0.413; -0.221; -0.594; -4.260; -4.138; -2.599; 0.329; -1.820; 13.181; 1.047; 2.828; 3.360; -2.922; -0.573
Size of the total moment / μB/f.u.: 0.00; 0.00; 0.00; 0.00; 0.00; 0.00; 0.70; 2.56; 0.00; 0.00; 0.00; 0.41; 0.00; 0.00; 0.00; 1.05; 2.21; 0.00; 0.00; 0.00